1.
An optimized crystal structure of Ga2Cu2Hg. Source: Alexandria via LeMat-Bulk, functional PBE.

a = 6.4023 Å, b = 6.4023 Å, c = 6.4023 Å
α = 144.95°, β = 144.95°, γ = 50.41°
Closest atoms and distances in Å follow each position.
Fractional coordinates of all 5 atoms:
Ga 0.2500 0.7500 0.5000  4 Cu 2.55, 4 Ga 2.73
Ga 0.7500 0.2500 0.5000  4 Cu 2.55, 4 Ga 2.73
Cu 0.1061 0.1061 0.0000  1 Cu 2.46, 4 Ga 2.55
Cu 0.8939 0.8939 0.0000  1 Cu 2.46, 4 Ga 2.55
Hg 0.5000 0.5000 0.0000  8 Cu 2.99

N(E_F) in states/eV per cell: 2.08
Space group: I4/mmm (139)
E above lowest polymorph in meV per atom: 36
Energy relative to the elements in kJ/mol of formula units: 53
Electronic total energy in eV/atom: -2.800
Total moment in μB/atom: 0.0000

=====

2.
An optimized crystal structure of NpU2Tl3Te6. Source: Alexandria via LeMat-Bulk, functional PBE.

a = 7.6556 Å, b = 7.6556 Å, c = 8.7040 Å
α = 98.43°, β = 98.43°, γ = 120.00°
Closest atoms and distances in Å follow each position.
Fractional coordinates of all 12 atoms:
Np 0.0000 0.0000 0.0000  6 Te 3.13-3.14
U 0.3331 0.6669 0.0000  6 Te 3.12
U 0.6669 0.3331 0.0000  6 Te 3.12
Tl 0.1661 0.8339 0.5000  6 Te 3.47-3.48
Tl 0.5000 0.5000 0.5000  6 Te 3.47-3.48
Tl 0.8339 0.1661 0.5000  6 Te 3.47-3.48
Te 0.0723 0.4076 0.2166  2 U 3.12, 1 Np 3.14, 3 Tl 3.47-3.48
Te 0.2636 0.2636 0.7842  2 U 3.12, 1 Np 3.13, 3 Tl 3.47-3.48
Te 0.4076 0.0723 0.2166  2 U 3.12, 1 Np 3.14, 3 Tl 3.47-3.48
Te 0.5924 0.9277 0.7834  2 U 3.12, 1 Np 3.14, 3 Tl 3.47-3.48
Te 0.7364 0.7364 0.2158  2 U 3.12, 1 Np 3.13, 3 Tl 3.47-3.48
Te 0.9277 0.5924 0.7834  2 U 3.12, 1 Np 3.14, 3 Tl 3.47-3.48

N(E_F) in states/eV per cell: 22.22
Space group: C2/m (12)
Electronic total energy in eV/atom: -5.659
Total moment in μB/atom: 0.8333

=====

3.
An optimized crystal structure of PuU2Ru. Source: Alexandria via LeMat-Bulk, functional PBE.

a = 7.5881 Å, b = 3.5700 Å, c = 11.4638 Å
α = 90.00°, β = 90.00°, γ = 90.00°
Closest atoms and distances in Å follow each position.
Fractional coordinates of all 16 atoms:
Pu 0.0552 0.2500 0.1142  4 U 2.46-2.52
Pu 0.4448 0.7500 0.6142  4 U 2.46-2.52
Pu 0.5552 0.2500 0.3858  4 U 2.46-2.52
Pu 0.9448 0.7500 0.8858  4 U 2.46-2.52
U 0.0004 0.2500 0.3306  1 Pu 2.52, 2 Ru 2.71
U 0.9996 0.7500 0.6694  1 Pu 2.52, 2 Ru 2.71
U 0.2141 0.7500 0.0104  3 Pu 2.46-2.49
U 0.2859 0.2500 0.5104  3 Pu 2.46-2.49
U 0.5004 0.2500 0.1694  1 Pu 2.52, 2 Ru 2.71
U 0.4996 0.7500 0.8306  1 Pu 2.52, 2 Ru 2.71
U 0.7141 0.7500 0.4896  3 Pu 2.46-2.49
U 0.7859 0.2500 0.9896  3 Pu 2.46-2.49
Ru 0.2452 0.2500 0.7740  4 U 2.71-2.85, 2 Pu 2.97
Ru 0.2548 0.7500 0.2740  4 U 2.71-2.85, 2 Pu 2.97
Ru 0.7452 0.2500 0.7260  4 U 2.71-2.85, 2 Pu 2.97
Ru 0.7548 0.7500 0.2260  4 U 2.71-2.85, 2 Pu 2.97

N(E_F) in states/eV per cell: 29.53
Space group: Pnma (62)
E above lowest polymorph in meV per atom: 135
Energy relative to the elements in kJ/mol of formula units: 22
Electronic total energy in eV/atom: -11.489
Total moment in μB/atom: 0.0000

=====

4.
An optimized crystal structure of CePm2YEr. Source: Alexandria via LeMat-Bulk, functional PBE.

a = 6.6757 Å, b = 8.2271 Å, c = 6.1123 Å
α = 90.00°, β = 90.13°, γ = 90.00°
Closest atoms and distances in Å follow each position.
Fractional coordinates of all 10 atoms:
Ce 0.0000 0.0000 0.0000  2 Ce 3.06, 2 Y 3.30
Ce 0.0000 0.0000 0.5000  2 Ce 3.06, 2 Y 3.30
Pm 0.2635 0.3066 0.2509  2 Pm 3.16-3.52, 1 Y 3.29, 2 Ce 3.43
Pm 0.2635 0.6934 0.7509  2 Pm 3.16-3.52, 1 Y 3.29, 2 Ce 3.43
Pm 0.7365 0.3066 0.2491  2 Pm 3.16-3.52, 1 Y 3.29, 2 Ce 3.43
Pm 0.7365 0.6934 0.7491  2 Pm 3.16-3.52, 1 Y 3.29, 2 Ce 3.43
Y 0.0000 0.3557 0.7500  6 Pm 3.29-3.55, 2 Ce 3.30
Y 0.0000 0.6443 0.2500  6 Pm 3.29-3.55, 2 Ce 3.30
Er 0.5000 0.1212 0.7500  2 Er 3.65, 6 Pm 3.76-3.86, 4 Ce 3.80-3.81, 2 Y 3.85
Er 0.5000 0.8788 0.2500  2 Er 3.65, 6 Pm 3.76-3.86, 4 Ce 3.80-3.81, 2 Y 3.85

N(E_F) in states/eV per cell: 22.07
Space group: P2/c (13)
Energy relative to the elements in kJ/mol of formula units: 138
Electronic total energy in eV/atom: -5.006
Total moment in μB/atom: 0.1020